A PBEsol-optimized structure of Cd2CuAu. Source: the Alexandria database, functional meta-GGA SCAN.

Cell and atoms, written as extended XYZ:
```
4
Lattice="-2.8418 0.6226 0.3841 0.5142 -1.7445 -4.5772 -0.5754 -4.2435 2.6212" Properties=species:S:1:pos:R:3 pbc="T T T"
Cd -2.2868 -3.5281 0.0094
Cd -0.6163 -1.8372 -1.5813
Cu -0.2877 -2.1217 1.3106
Au -1.4209 0.3113 0.1921
```

## Properties
Size of the total moment in Bohr magnetons per cell: 0.0
Density in g/cm³: 11.89
Space-group type: No. 12
Energy of formation in eV per formula unit: -0.05
N(E_F) in states/eV/atom: 0.263